Density functional theory data (PBE) for a relaxed structure of TcRuPb4.

Geometry as CIF:
```
data_TcRuPb4
_space_group_name_H-M_alt 'P 1'
_space_group_IT_number 1
_cell_length_a 6.180
_cell_length_b 6.180
_cell_length_c 6.180
_cell_angle_alpha 60.00
_cell_angle_beta 60.00
_cell_angle_gamma 60.00
loop_
_space_group_symop_operation_xyz
'x,y,z'
loop_
_atom_site_label
_atom_site_type_symbol
_atom_site_fract_x
_atom_site_fract_y
_atom_site_fract_z
Tc1 Tc 0.000 0.000 0.000
Ru1 Ru 0.750 0.750 0.750
Pb1 Pb 0.375 0.375 0.375
Pb2 Pb 0.375 0.375 0.875
Pb3 Pb 0.375 0.875 0.375
Pb4 Pb 0.875 0.375 0.375
```

SG: No. 216
DFT formation energy in meV per atom: 1356
Uncorrected energy in eV per atom: -4.390
DOS at the Fermi energy in states/eV/cell: 4.83
Size of the total moment in Bohr magnetons per cell: 5.4

=====

Density functional theory data (PBE) for a relaxed structure of CuNiPt3.

Geometry as CIF:
```
data_CuNiPt3
_space_group_name_H-M_alt 'P 1'
_space_group_IT_number 1
_cell_length_a 7.323
_cell_length_b 7.323
_cell_length_c 4.539
_cell_angle_alpha 90.01
_cell_angle_beta 90.01
_cell_angle_gamma 35.79
loop_
_space_group_symop_operation_xyz
'x,y,z'
loop_
_atom_site_label
_atom_site_type_symbol
_atom_site_fract_x
_atom_site_fract_y
_atom_site_fract_z
Cu1 Cu 0.000 0.000 0.000
Cu2 Cu 0.694 0.694 0.501
Ni1 Ni 0.198 0.198 0.963
Ni2 Ni 0.496 0.496 0.464
Pt1 Pt 0.097 0.097 0.487
Pt2 Pt 0.292 0.292 0.463
Pt3 Pt 0.402 0.402 0.963
Pt4 Pt 0.597 0.597 0.988
Pt5 Pt 0.791 0.791 0.022
Pt6 Pt 0.903 0.903 0.521
```

SG: No. 8
DFT formation energy in meV per atom: -20
Uncorrected energy in eV per atom: -5.620
DOS at the Fermi energy in states/eV/cell: 14.31
ΔE to the lowest computed polymorph in kJ/mol of formula units: 0
Size of the total moment in Bohr magnetons per cell: 2.8